Computed, not measured: a geometry-optimized SbS24I3 structure at the PBEsol level of DFT.

Unit cell a=4.355 b=14.235 c=14.235 alpha=118.97 beta=95.85 gamma=95.85
Fractional positions:
Sb: 0.659 0.000 0.000
S: 0.410 0.397 0.000
S: 0.410 0.000 0.397
S: 0.013 0.603 0.603
S: 0.135 0.381 0.865
S: 0.270 0.135 0.515
S: 0.755 0.485 0.619
S: 0.755 0.619 0.485
S: 0.270 0.515 0.135
S: 0.135 0.865 0.381
S: 0.382 0.466 0.807
S: 0.575 0.193 0.659
S: 0.916 0.341 0.534
S: 0.916 0.534 0.341
S: 0.575 0.659 0.193
S: 0.382 0.807 0.466
S: 0.238 0.615 0.863
S: 0.374 0.137 0.752
S: 0.623 0.248 0.385
S: 0.623 0.385 0.248
S: 0.374 0.752 0.137
S: 0.238 0.863 0.615
S: 0.551 0.730 0.000
S: 0.551 0.000 0.730
S: 0.820 0.270 0.270
I: 0.058 0.167 0.000
I: 0.058 0.000 0.167
I: 0.891 0.833 0.833

## Properties
* magnetic moment: 0.000 μB/atom
* final energy: -4.149 eV per atom
* Fermi-level density of states: 0.0 states/eV/f.u.



Computed, not measured: a geometry-optimized CrPtPb3 structure at the PBEsol level of DFT.

Unit cell a=5.043 b=5.043 c=5.043 alpha=90.00 beta=90.00 gamma=90.00
Last column: magnetic moment on the atom in μB.
Fractional positions:
Pb: 0.000 0.500 0.000  -0.04
Pb: 0.000 0.000 0.500  -0.04
Pb: 0.500 0.000 0.000  -0.04
Cr: 0.000 0.000 0.000  1.92
Pt: 0.500 0.500 0.500  0.17

## Properties
* magnetic moment: 0.401 μB/atom
* final energy: -5.056 eV per atom
* Fermi-level density of states: 2.6 states/eV/f.u.



Computed, not measured: a geometry-optimized MgO structure at the PBEsol level of DFT.

Unit cell a=2.983 b=2.983 c=2.983 alpha=60.00 beta=60.00 gamma=60.00
Fractional positions:
Mg: 0.000 0.000 0.000
O: 0.500 0.500 0.500

## Properties
* magnetic moment: 0.000 μB/atom
* final energy: -6.229 eV per atom
* Fermi-level density of states: 0.0 states/eV/f.u.



For the records above, the corresponding volume values read 756 128 19 Å³ per cell.